1.
The following is a PBE calculation of a relaxed PmBi2O6 crystal, from the Alexandria database.

Unit cell a=5.016 b=5.743 c=5.743 alpha=120.00 beta=90.00 gamma=90.00
Element x y z (fractional)
Pm 0.000 0.000 0.000
Bi 0.500 0.667 0.333
Bi 0.500 0.333 0.667
O 0.734 0.650 0.650
O 0.266 0.650 0.000
O 0.266 0.000 0.650
O 0.734 0.350 0.000
O 0.266 0.350 0.350
O 0.734 0.000 0.350

Computed properties:
**Raw formation energy**: -1562 meV/atom
**Density of states at the Fermi level**: 4.12 states/eV per cell
**Distance to the lowest polymorph of the same formula**: 0 meV per atom
**Crystal system**: trigonal
**Total energy**: -6.26 eV per atom
**Symmetry**: P-31m (162)
**Volume**: 143 Å³/f.u.
**Total magnetization**: 0.000 Bohr magnetons per cell

2.
The following is a PBE calculation of a relaxed HOsAuSe2 crystal, from the Alexandria database.

Unit cell a=4.681 b=3.453 c=4.681 alpha=90.00 beta=90.00 gamma=90.00
Element x y z (fractional)
Os 0.500 0.500 0.500
Au 0.000 0.500 0.000
Se 0.000 0.000 0.500
Se 0.500 0.000 0.000
H 0.000 0.000 0.000

Computed properties:
**Density of states at the Fermi level**: 3.66 states/eV per cell
**Crystal system**: tetragonal
**Total energy**: -3.94 eV per atom
**Symmetry**: P4/mmm (123)
**Volume**: 76 Å³/f.u.
**Total magnetization**: 0.000 Bohr magnetons per cell

3.
The following is a PBE calculation of a relaxed BaCoPdCl6 crystal, from the Alexandria database.

Unit cell a=6.549 b=6.525 c=6.662 alpha=90.36 beta=90.18 gamma=60.12
Site moments in Bohr magnetons follow the coordinates.
Element x y z (fractional)
Ba 0.000 0.000 0.000  0.02
Co 0.664 0.668 0.500  2.54
Pd 0.331 0.334 0.500  1.19
Cl 0.988 0.385 0.286  0.16
Cl 0.380 0.987 0.711  0.16
Cl 0.635 0.377 0.711  0.16
Cl 0.988 0.628 0.714  0.16
Cl 0.380 0.633 0.289  0.16
Cl 0.634 0.989 0.288  0.16

Computed properties:
**Raw formation energy**: -1082 meV/atom
**Density of states at the Fermi level**: 1.31 states/eV per cell
**Crystal system**: monoclinic
**Total energy**: -3.89 eV per atom
**Symmetry**: C2 (5)
**Volume**: 247 Å³/f.u.
**Total magnetization**: 5.067 Bohr magnetons per cell

4.
The following is a PBE calculation of a relaxed PmHo5Pb5 crystal, from the Alexandria database.

Unit cell a=6.277 b=8.441 c=7.418 alpha=101.94 beta=90.00 gamma=111.83
Element x y z (fractional)
Pm 0.000 0.000 0.000
Ho 0.655 0.310 0.341
Ho 0.667 0.335 0.842
Ho 0.000 0.000 0.500
Ho 0.333 0.665 0.158
Ho 0.345 0.690 0.659
Pb 0.830 0.660 0.186
Pb 0.831 0.662 0.656
Pb 0.500 0.000 0.000
Pb 0.169 0.338 0.344
Pb 0.170 0.340 0.814

Computed properties:
**Density of states at the Fermi level**: 9.09 states/eV per cell
**Crystal system**: monoclinic
**Total energy**: -4.46 eV per atom
**Symmetry**: C2/m (12)
**Volume**: 356 Å³/f.u.
**Total magnetization**: 0.409 Bohr magnetons per cell
**Formation enthalpy at 0 K**: -0.2611 eV per atom

5.
The following is a PBE calculation of a relaxed ZrSc2Tl crystal, from the Alexandria database.

Unit cell a=6.013 b=6.013 c=5.424 alpha=65.32 beta=65.32 gamma=32.02
Element x y z (fractional)
Sc 0.997 0.997 0.065
Sc 0.765 0.765 0.660
Tl 0.502 0.502 0.586
Zr 0.236 0.236 0.189

Computed properties:
**Density of states at the Fermi level**: 4.13 states/eV per cell
**Distance to the lowest polymorph of the same formula**: 59 meV per atom
**Crystal system**: monoclinic
**Total energy**: -6.00 eV per atom
**Symmetry**: Cm (8)
**Volume**: 94 Å³/f.u.
**Total magnetization**: 0.000 Bohr magnetons per cell
**Formation enthalpy at 0 K**: -0.1082 eV per atom

6.
The following is a PBE calculation of a relaxed ScMnRu2 crystal, from the Alexandria database.

Unit cell a=8.493 b=8.493 c=8.493 alpha=19.80 beta=19.80 gamma=19.80
Site moments in Bohr magnetons follow the coordinates.
Element x y z (fractional)
Mn 0.750 0.750 0.750  3.09
Ru 0.004 0.004 0.004  0.01
Ru 0.496 0.496 0.496  0.01
Sc 0.250 0.250 0.250  -0.01

Computed properties:
**Density of states at the Fermi level**: 4.28 states/eV per cell
**Crystal system**: trigonal
**Total energy**: -8.41 eV per atom
**Symmetry**: R-3m (166)
**Volume**: 61 Å³/f.u.
**Total magnetization**: 3.263 Bohr magnetons per cell
**Formation enthalpy at 0 K**: 0.1009 eV per atom

7.
The following is a PBE calculation of a relaxed Sc2Be2Fe crystal, from the Alexandria database.

Unit cell a=6.978 b=6.978 c=3.155 alpha=90.00 beta=90.00 gamma=90.00
Element x y z (fractional)
Sc 0.318 0.818 0.000
Sc 0.818 0.682 0.000
Sc 0.682 0.182 0.000
Sc 0.182 0.318 0.000
Be 0.109 0.609 0.500
Be 0.609 0.891 0.500
Be 0.891 0.391 0.500
Be 0.391 0.109 0.500
Fe 0.000 0.000 0.000
Fe 0.500 0.500 0.000

Computed properties:
**Density of states at the Fermi level**: 8.55 states/eV per cell
**Distance to the lowest polymorph of the same formula**: 324 meV per atom
**Crystal system**: tetragonal
**Total energy**: -5.22 eV per atom
**Symmetry**: P4/mbm (127)
**Volume**: 77 Å³/f.u.
**Total magnetization**: 0.001 Bohr magnetons per cell
**Formation enthalpy at 0 K**: 0.4945 eV per atom

8.
The following is a PBE calculation of a relaxed K5Ba crystal, from the Alexandria database.

Unit cell a=8.482 b=8.482 c=8.482 alpha=60.00 beta=60.00 gamma=60.00
Element x y z (fractional)
K 0.250 0.250 0.250
K 0.625 0.625 0.625
K 0.625 0.625 0.125
K 0.125 0.625 0.625
K 0.625 0.125 0.625
Ba 0.000 0.000 0.000

Computed properties:
**Density of states at the Fermi level**: 5.87 states/eV per cell
**Distance to the lowest polymorph of the same formula**: 62 meV per atom
**Crystal system**: cubic
**Total energy**: -1.14 eV per atom
**Symmetry**: F-43m (216)
**Volume**: 432 Å³/f.u.
**Total magnetization**: 0.000 Bohr magnetons per cell
**Formation enthalpy at 0 K**: 0.0939 eV per atom

9.
The following is a PBE calculation of a relaxed Li2SiS crystal, from the Alexandria database.

Unit cell a=10.874 b=3.919 c=6.792 alpha=90.00 beta=102.07 gamma=90.00
Element x y z (fractional)
Li 0.832 0.000 0.713
Li 0.832 0.500 0.213
Li 0.663 0.000 0.323
Li 0.663 0.500 0.823
Li 0.478 0.000 0.591
Li 0.478 0.500 0.091
Li 0.327 0.000 0.874
Li 0.327 0.500 0.374
Si 0.073 0.000 0.793
Si 0.073 0.500 0.293
Si 0.996 0.000 0.101
Si 0.996 0.500 0.601
S 0.765 0.000 0.024
S 0.765 0.500 0.524
S 0.435 0.000 0.244
S 0.435 0.500 0.744

Computed properties:
**Raw formation energy**: -817 meV/atom
**Density of states at the Fermi level**: 0.00 states/eV per cell
**Distance to the lowest polymorph of the same formula**: 12 meV per atom
**Crystal system**: monoclinic
**Total energy**: -4.16 eV per atom
**Symmetry**: Cm (8)
**Volume**: 71 Å³/f.u.
**Total magnetization**: 0.000 Bohr magnetons per cell

10.
The following is a PBE calculation of a relaxed TbPmDyTh crystal, from the Alexandria database.

Unit cell a=5.700 b=5.700 c=5.700 alpha=60.00 beta=60.00 gamma=60.00
Element x y z (fractional)
Pm 0.250 0.250 0.250
Tb 0.000 0.000 0.000
Th 0.500 0.500 0.500
Dy 0.750 0.750 0.750

Computed properties:
**Density of states at the Fermi level**: 9.02 states/eV per cell
**Distance to the lowest polymorph of the same formula**: 163 meV per atom
**Crystal system**: cubic
**Total energy**: -5.17 eV per atom
**Symmetry**: F-43m (216)
**Volume**: 131 Å³/f.u.
**Total magnetization**: 0.001 Bohr magnetons per cell
**Formation enthalpy at 0 K**: 0.1832 eV per atom

11.
The following is a PBE calculation of a relaxed Pr3RuPb crystal, from the Alexandria database.

Unit cell a=4.725 b=8.113 c=8.564 alpha=113.49 beta=90.00 gamma=90.00
Element x y z (fractional)
Pr 0.750 0.657 0.414
Pr 0.250 0.343 0.586
Pr 0.750 0.330 0.910
Pr 0.250 0.959 0.758
Pr 0.250 0.670 0.090
Pr 0.750 0.041 0.242
Ru 0.250 0.911 0.416
Ru 0.750 0.089 0.584
Pb 0.250 0.304 0.181
Pb 0.750 0.696 0.819

Computed properties:
**Density of states at the Fermi level**: 10.75 states/eV per cell
**Distance to the lowest polymorph of the same formula**: 13 meV per atom
**Crystal system**: monoclinic
**Total energy**: -5.78 eV per atom
**Symmetry**: P2_1/m (11)
**Volume**: 151 Å³/f.u.
**Total magnetization**: 0.002 Bohr magnetons per cell
**Formation enthalpy at 0 K**: -0.3141 eV per atom

12.
The following is a PBE calculation of a relaxed PmLuTlRh crystal, from the Alexandria database.

Unit cell a=5.135 b=5.135 c=5.135 alpha=60.00 beta=60.00 gamma=60.00
Element x y z (fractional)
Tl 0.000 0.000 0.000
Lu 0.750 0.750 0.750
Rh 0.500 0.500 0.500
Pm 0.250 0.250 0.250

Computed properties:
**Density of states at the Fermi level**: 2.24 states/eV per cell
**Crystal system**: cubic
**Total energy**: -5.21 eV per atom
**Symmetry**: F-43m (216)
**Volume**: 96 Å³/f.u.
**Total magnetization**: 0.000 Bohr magnetons per cell
**Formation enthalpy at 0 K**: -0.4590 eV per atom